Entry 1:
Below is a relaxed LiTaSn2 crystal, with properties calculated at the GGA-PBE level.

```
data_LiTaSn2
_chemical_formula_sum 'Li1 Ta1 Sn2'
_cell_length_a 3.534
_cell_length_b 3.534
_cell_length_c 6.317
_cell_angle_alpha 90.00
_cell_angle_beta 90.00
_cell_angle_gamma 90.00
_symmetry_space_group_name_H-M 'P 1'
_symmetry_Int_Tables_number 1
_symmetry_space_group_name_Hall 'P 1'
loop_
_atom_site_label
_atom_site_type_symbol
_atom_site_fract_x
_atom_site_fract_y
_atom_site_fract_z
Li1 Li 0.500 0.500 0.000
Sn1 Sn 0.000 0.000 0.752
Sn2 Sn 0.000 0.000 0.248
Ta1 Ta 0.500 0.500 0.500
```

E, eV per atom: -5.414
Crystal system: tetragonal
DOS at the Fermi energy, states/eV per atom: 0.895
DFT formation energy, eV/atom: 0.030
Energy above the lowest structure with this stoichiometry, meV/atom: 95.0

=====

Entry 2:
Below is a relaxed Be2CdSi crystal, with properties calculated at the GGA-PBE level.

```
data_Be2CdSi
_chemical_formula_sum 'Be2 Cd1 Si1'
_cell_length_a 2.584
_cell_length_b 3.413
_cell_length_c 6.489
_cell_angle_alpha 90.00
_cell_angle_beta 90.00
_cell_angle_gamma 90.00
_symmetry_space_group_name_H-M 'P 1'
_symmetry_Int_Tables_number 1
_symmetry_space_group_name_Hall 'P 1'
loop_
_atom_site_label
_atom_site_type_symbol
_atom_site_fract_x
_atom_site_fract_y
_atom_site_fract_z
Be1 Be 0.000 0.000 0.027
Be2 Be 0.500 0.500 0.185
Si1 Si 0.500 0.500 0.832
Cd1 Cd 0.000 0.000 0.456
```

E, eV per atom: -3.006
Crystal system: orthorhombic
DOS at the Fermi energy, states/eV per atom: 0.270
Energy relative to the elements, uncorrected, eV per formula unit: 1.77
Energy above the lowest structure with this stoichiometry, meV/atom: 36.2

=====

Entry 3:
Below is a relaxed AcPuAg2Te4 crystal, with properties calculated at the GGA-PBE level.

```
data_AcPuAg2Te4
_chemical_formula_sum 'Ac1 Pu1 Ag2 Te4'
_cell_length_a 7.689
_cell_length_b 6.944
_cell_length_c 6.944
_cell_angle_alpha 68.94
_cell_angle_beta 56.38
_cell_angle_gamma 56.38
_symmetry_space_group_name_H-M 'P 1'
_symmetry_Int_Tables_number 1
_symmetry_space_group_name_Hall 'P 1'
loop_
_atom_site_label
_atom_site_type_symbol
_atom_site_fract_x
_atom_site_fract_y
_atom_site_fract_z
Ac1 Ac 0.000 0.000 0.000
Pu1 Pu 0.500 0.500 0.500
Ag1 Ag 0.169 0.331 0.331
Ag2 Ag 0.831 0.669 0.669
Te1 Te 0.472 0.055 0.525
Te2 Te 0.053 0.945 0.475
Te3 Te 0.947 0.525 0.055
Te4 Te 0.528 0.475 0.945
```

E, eV per atom: -5.284
Crystal system: orthorhombic
DOS at the Fermi energy, states/eV per atom: 1.686
Energy relative to the elements, uncorrected, eV per formula unit: -5.56